Entry 1:
The following is a DFT calculation (PBE) of Sc3CdPt4 after structural relaxation.

Calculated values
Crystal system: orthorhombic
Energy of formation (eV per atom): -1.054
Density of states at the Fermi level (states/eV per atom): 0.55
Electronic total energy (eV/cell): -105.0
M_tot (μB per formula unit): 0.0

Cell lengths 9.286, 6.631, 4.643 Å; angles 90.00, 90.00, 90.00 degrees
Element x y z (fractional)
1 Sc 0.000 0.000 0.000
2 Sc 0.250 0.000 0.499
3 Sc 0.250 0.500 0.499
4 Sc 0.500 0.000 0.000
5 Sc 0.750 0.000 0.501
6 Sc 0.750 0.500 0.501
7 Cd 0.000 0.500 0.000
8 Cd 0.500 0.500 0.000
9 Pt 0.000 0.239 0.500
10 Pt 0.000 0.761 0.500
11 Pt 0.250 0.239 0.999
12 Pt 0.250 0.761 0.999
13 Pt 0.500 0.239 0.500
14 Pt 0.500 0.761 0.500
15 Pt 0.750 0.239 0.001
16 Pt 0.750 0.761 0.001


Entry 2:
The following is a DFT calculation (PBE) of Sc2CdPt after structural relaxation.

Calculated values
Crystal system: tetragonal
Energy of formation (eV per atom): -0.566
Density of states at the Fermi level (states/eV per atom): 0.76
Electronic total energy (eV/cell): -21.9
M_tot (μB per formula unit): 0.9

Cell lengths 3.584, 3.584, 6.384 Å; angles 90.00, 90.00, 90.00 degrees
Element x y z (fractional)
1 Sc 0.000 0.000 0.000
2 Sc 0.500 0.500 0.305
3 Cd 0.000 0.000 0.549
4 Pt 0.500 0.500 0.828


Entry 3:
The following is a DFT calculation (PBE) of Sc2CdPt after structural relaxation.

Calculated values
Crystal system: trigonal
Energy of formation (eV per atom): -0.350
Density of states at the Fermi level (states/eV per atom): 0.05
Electronic total energy (eV/cell): -21.0
M_tot (μB per formula unit): 0.0

Cell lengths 9.285, 9.285, 9.285 Å; angles 23.59, 23.59, 23.59 degrees
Element x y z (fractional)
1 Sc 0.113 0.113 0.113
2 Sc 0.887 0.887 0.887
3 Cd 0.000 0.000 0.000
4 Pt 0.500 0.500 0.500


Entry 4:
The following is a DFT calculation (PBE) of Sc4Cd3Pt after structural relaxation.

Calculated values
Crystal system: tetragonal
Energy of formation (eV per atom): -0.530
Density of states at the Fermi level (states/eV per atom): 1.10
Electronic total energy (eV/cell): -38.3
M_tot (μB per formula unit): 0.0

Cell lengths 3.435, 3.435, 14.247 Å; angles 90.00, 90.00, 90.00 degrees
Element x y z (fractional)
1 Sc 0.000 0.000 0.108
2 Sc 0.000 0.000 0.369
3 Sc 0.000 0.000 0.631
4 Sc 0.000 0.000 0.892
5 Cd 0.500 0.500 0.242
6 Cd 0.500 0.500 0.500
7 Cd 0.500 0.500 0.758
8 Pt 0.500 0.500 0.000


Entry 5:
The following is a DFT calculation (PBE) of Sc2CdPt after structural relaxation.

Calculated values
Crystal system: trigonal
Energy of formation (eV per atom): -0.064
Density of states at the Fermi level (states/eV per atom): 0.87
Electronic total energy (eV/cell): -19.9
M_tot (μB per formula unit): 0.0

Cell lengths 10.329, 10.329, 10.329 Å; angles 17.28, 17.28, 17.28 degrees
Element x y z (fractional)
1 Sc 0.083 0.083 0.083
2 Sc 0.917 0.917 0.917
3 Cd 0.500 0.500 0.500
4 Pt 0.000 0.000 0.000


Entry 6:
The following is a DFT calculation (PBE) of Sc4Cd5Pt2 after structural relaxation.

Calculated values
Crystal system: monoclinic
Energy of formation (eV per atom): -0.591
Density of states at the Fermi level (states/eV per atom): 0.61
Electronic total energy (eV/cell): -48.5
M_tot (μB per formula unit): 0.0

Cell lengths 7.532, 3.337, 9.445 Å; angles 90.00, 93.87, 90.00 degrees
Element x y z (fractional)
1 Sc 0.172 0.000 0.355
2 Sc 0.212 0.000 0.941
3 Sc 0.788 0.000 0.059
4 Sc 0.828 0.000 0.645
5 Cd 0.180 0.500 0.644
6 Cd 0.462 0.500 0.169
7 Cd 0.500 0.500 0.500
8 Cd 0.538 0.500 0.831
9 Cd 0.820 0.500 0.356
10 Pt 0.076 0.500 0.143
11 Pt 0.924 0.500 0.857


Entry 7:
The following is a DFT calculation (PBE) of ScCdPt2 after structural relaxation.

Calculated values
Crystal system: tetragonal
Energy of formation (eV per atom): -0.871
Density of states at the Fermi level (states/eV per atom): 0.36
Electronic total energy (eV/cell): -22.8
M_tot (μB per formula unit): 0.0

Cell lengths 3.451, 3.451, 5.950 Å; angles 90.00, 90.00, 90.00 degrees
Element x y z (fractional)
1 Sc 0.000 0.000 0.000
2 Cd 0.000 0.000 0.500
3 Pt 0.500 0.500 0.245
4 Pt 0.500 0.500 0.755


Entry 8:
The following is a DFT calculation (PBE) of Sc3Cd2Pt3 after structural relaxation.

Calculated values
Crystal system: hexagonal
Energy of formation (eV per atom): -0.863
Density of states at the Fermi level (states/eV per atom): 0.53
Electronic total energy (eV/cell): -91.7
M_tot (μB per formula unit): 0.0

Cell lengths 8.169, 8.169, 5.521 Å; angles 90.00, 90.00, 120.00 degrees
Element x y z (fractional)
1 Sc 0.000 0.274 0.250
2 Sc 0.000 0.726 0.750
3 Sc 0.274 0.000 0.250
4 Sc 0.274 0.274 0.750
5 Sc 0.726 0.000 0.750
6 Sc 0.726 0.726 0.250
7 Cd 0.333 0.667 0.000
8 Cd 0.333 0.667 0.500
9 Cd 0.667 0.333 0.000
10 Cd 0.667 0.333 0.500
11 Pt 0.000 0.369 0.750
12 Pt 0.000 0.631 0.250
13 Pt 0.369 0.000 0.750
14 Pt 0.369 0.369 0.250
15 Pt 0.631 0.000 0.250
16 Pt 0.631 0.631 0.750


Entry 9:
The following is a DFT calculation (PBE) of ScCd3Pt6 after structural relaxation.

Calculated values
Crystal system: monoclinic
Energy of formation (eV per atom): -0.552
Density of states at the Fermi level (states/eV per atom): 0.40
Electronic total energy (eV/cell): -101.7
M_tot (μB per formula unit): 0.0

Cell lengths 8.941, 4.140, 9.242 Å; angles 90.00, 92.35, 90.00 degrees
Element x y z (fractional)
1 Sc 0.058 0.250 0.382
2 Sc 0.942 0.750 0.618
3 Cd 0.249 0.250 0.006
4 Cd 0.347 0.750 0.801
5 Cd 0.448 0.250 0.600
6 Cd 0.552 0.750 0.400
7 Cd 0.653 0.250 0.199
8 Cd 0.751 0.750 0.994
9 Pt 0.050 0.750 0.903
10 Pt 0.141 0.250 0.693
11 Pt 0.148 0.750 0.206
12 Pt 0.239 0.750 0.499
13 Pt 0.350 0.250 0.303
14 Pt 0.449 0.750 0.103
15 Pt 0.551 0.250 0.897
16 Pt 0.650 0.750 0.697
17 Pt 0.761 0.250 0.501
18 Pt 0.852 0.250 0.794
19 Pt 0.859 0.750 0.307
20 Pt 0.950 0.250 0.097


Entry 10:
The following is a DFT calculation (PBE) of Sc5Cd4Pt2 after structural relaxation.

Calculated values
Crystal system: orthorhombic
Energy of formation (eV per atom): -0.670
Density of states at the Fermi level (states/eV per atom): 0.80
Electronic total energy (eV/cell): -109.5
M_tot (μB per formula unit): 0.0

Cell lengths 7.711, 17.786, 3.340 Å; angles 90.00, 90.00, 90.00 degrees
Element x y z (fractional)
1 Sc 0.000 0.000 0.000
2 Sc 0.124 0.416 0.000
3 Sc 0.242 0.720 0.000
4 Sc 0.258 0.220 0.000
5 Sc 0.376 0.916 0.000
6 Sc 0.500 0.500 0.000
7 Sc 0.624 0.084 0.000
8 Sc 0.742 0.780 0.000
9 Sc 0.758 0.280 0.000
10 Sc 0.876 0.584 0.000
11 Cd 0.064 0.854 0.500
12 Cd 0.208 0.566 0.500
13 Cd 0.292 0.066 0.500
14 Cd 0.436 0.354 0.500
15 Cd 0.564 0.646 0.500
16 Cd 0.708 0.934 0.500
17 Cd 0.792 0.434 0.500
18 Cd 0.936 0.146 0.500
19 Pt 0.042 0.305 0.500
20 Pt 0.458 0.805 0.500
21 Pt 0.542 0.195 0.500
22 Pt 0.958 0.695 0.500


Entry 11:
The following is a DFT calculation (PBE) of ScCd4Pt15 after structural relaxation.

Calculated values
Crystal system: tetragonal
Energy of formation (eV per atom): -0.362
Density of states at the Fermi level (states/eV per atom): 1.09
Electronic total energy (eV/cell): -107.9
M_tot (μB per formula unit): 0.0

Cell lengths 4.020, 4.020, 20.319 Å; angles 90.00, 90.00, 90.00 degrees
Element x y z (fractional)
1 Sc 0.000 0.000 0.000
2 Cd 0.000 0.000 0.199
3 Cd 0.000 0.000 0.399
4 Cd 0.000 0.000 0.601
5 Cd 0.000 0.000 0.801
6 Pt 0.000 0.500 0.097
7 Pt 0.000 0.500 0.299
8 Pt 0.000 0.500 0.500
9 Pt 0.000 0.500 0.701
10 Pt 0.000 0.500 0.903
11 Pt 0.500 0.000 0.097
12 Pt 0.500 0.000 0.299
13 Pt 0.500 0.000 0.500
14 Pt 0.500 0.000 0.701
15 Pt 0.500 0.000 0.903
16 Pt 0.500 0.500 0.000
17 Pt 0.500 0.500 0.198
18 Pt 0.500 0.500 0.400
19 Pt 0.500 0.500 0.600
20 Pt 0.500 0.500 0.802


Entry 12:
The following is a DFT calculation (PBE) of ScCdPt3 after structural relaxation.

Calculated values
Crystal system: cubic
Energy of formation (eV per atom): 0.404
Offset from the most stable computed form (meV/atom): 680
Density of states at the Fermi level (states/eV per atom): 0.58
Electronic total energy (eV/cell): -23.3
M_tot (μB per formula unit): 0.0

Cell lengths 4.827, 4.827, 4.827 Å; angles 90.00, 90.00, 90.00 degrees
Element x y z (fractional)
1 Sc 0.000 0.000 0.000
2 Cd 0.500 0.500 0.500
3 Pt 0.000 0.000 0.500
4 Pt 0.000 0.500 0.000
5 Pt 0.500 0.000 0.000


- The highest energy of formation belongs to which entry?
  ScCdPt3